# CsTb2Te3

A geometry-optimized CsTb2Te3 structure (PBE-GGA, the Alexandria database).

Structure (extended XYZ):
```
12
Lattice="-1.766 -2.240 4.000 8.815 -2.113 -0.309 2.487 9.441 6.386" Properties=species:S:1:pos:R:3 pbc="T T T"
Tb 0.065 1.107 3.666
Tb 9.470 3.981 6.411
Tb 1.243 4.721 3.193
Tb 0.000 0.000 0.000
Te 7.437 2.627 4.755
Te 2.099 2.461 5.322
Te 1.060 -1.482 2.656
Te 3.020 6.610 5.036
Te 8.475 6.569 7.422
Te 6.516 -1.523 5.042
Cs 4.980 4.331 7.642
Cs 4.555 0.757 2.435
```

symmetry: Cmcm
energy above the most stable polymorph in this dataset: 7 meV/atom
uncorrected formation energy: -7.46 eV per formula unit
M_tot: 0.000 μB per atom

=====

# LaZnAg3

A geometry-optimized LaZnAg3 structure (PBE-GGA, the Alexandria database).

Structure (extended XYZ):
```
5
Lattice="-2.175 -4.403 0.322 0.910 -0.798 -4.771 4.320 -2.049 1.167" Properties=species:S:1:pos:R:3 pbc="T T T"
La 1.528 -3.625 -1.641
Ag 0.455 -0.399 -2.385
Ag -1.088 -2.202 0.161
Ag 2.160 -1.025 0.583
Zn 0.000 0.000 0.000
```

formation energy: 0.10 eV/f.u.
symmetry: Pm-3m
energy above the most stable polymorph in this dataset: 214 meV/atom
M_tot: 0.000 μB per atom

=====

# SmZrAgAu

A geometry-optimized SmZrAgAu structure (PBE-GGA, the Alexandria database).

Structure (extended XYZ):
```
4
Lattice="5.046 0.000 0.000 2.523 4.370 0.000 2.523 1.457 4.120" Properties=species:S:1:pos:R:3 pbc="T T T"
Sm 7.569 4.370 3.090
Zr 2.523 1.457 1.030
Ag 5.046 2.913 2.060
Au 0.000 0.000 0.000
```

formation energy: -1.19 eV/f.u.
symmetry: F-43m
M_tot: 0.270 μB per atom

=====

Number 1: density 5.53 g/cm3. Number 2: density 7.35 g/cm3. Number 3: density 9.99 g/cm3.